(1)
This record from the Alexandria database describes a relaxed In2RhCl crystal. The functional is PBE-GGA.

The value obtained for the energy relative to the elements, uncorrected is -433 meV per atom. As for the total magnetization: 0.00 μB per atom. As for the energy above the most stable polymorph in this dataset: 36 meV per atom.

Unit cell a=3.197 b=3.306 c=7.904 alpha=90.00 beta=90.19 gamma=90.00
Atoms (fractional coordinates):
1 In 0.002 0.000 0.207
2 In 0.998 0.000 0.793
3 Rh 0.500 0.500 0.000
4 Cl 0.000 0.500 0.500

(2)
This record from the Alexandria database describes a relaxed GdYGaGe crystal. The functional is PBE-GGA.

As for the total magnetization: 1.76 μB per atom. The value obtained for the formation energy is -0.601 eV/atom.

Unit cell a=5.088 b=5.088 c=5.088 alpha=60.00 beta=60.00 gamma=60.00
Atoms (fractional coordinates):
1 Gd 0.000 0.000 0.000
2 Y 0.500 0.500 0.500
3 Ga 0.750 0.750 0.750
4 Ge 0.250 0.250 0.250

(3)
This record from the Alexandria database describes a relaxed RbCrGe3 crystal. The functional is PBE-GGA.

As for the total magnetization: 0.00 μB per atom. As for the energy above the most stable polymorph in this dataset: 0 meV per atom. The value obtained for the formation energy is 0.105 eV/atom.

Unit cell a=4.780 b=4.780 c=4.780 alpha=90.00 beta=90.00 gamma=90.00
Atoms (fractional coordinates):
1 Rb 0.000 0.000 0.000
2 Cr 0.500 0.500 0.500
3 Ge 0.000 0.500 0.500
4 Ge 0.500 0.000 0.500
5 Ge 0.500 0.500 0.000

(4)
This record from the Alexandria database describes a relaxed Ac3NdIn2 crystal. The functional is PBE-GGA.

As for the total magnetization: 0.07 μB per atom. The value obtained for the formation energy is -0.268 eV/atom.

Unit cell a=10.190 b=10.190 c=10.190 alpha=139.04 beta=59.42 gamma=138.89
Atoms (fractional coordinates):
1 Ac 0.178 0.747 0.926
2 Ac 0.250 0.250 0.000
3 Ac 0.322 0.247 0.569
4 Ac 0.678 0.753 0.431
5 Ac 0.750 0.750 0.000
6 Ac 0.822 0.253 0.074
7 Nd 0.250 0.750 0.500
8 Nd 0.750 0.250 0.500
9 In 0.131 0.260 0.391
10 In 0.369 0.760 0.130
11 In 0.631 0.240 0.870
12 In 0.869 0.740 0.609

(5)
This record from the Alexandria database describes a relaxed NdSm12Ho7 crystal. The functional is PBE-GGA.

As for the total magnetization: 0.00 μB per atom. As for the energy above the most stable polymorph in this dataset: 0 meV per atom. The value obtained for the formation energy is 0.104 eV/atom.

Unit cell a=8.816 b=8.816 c=8.816 alpha=98.23 beta=98.23 gamma=98.23
Atoms (fractional coordinates):
1 Nd 0.000 0.000 0.000
2 Sm 0.091 0.359 0.359
3 Sm 0.238 0.500 0.762
4 Sm 0.238 0.762 0.500
5 Sm 0.359 0.091 0.359
6 Sm 0.359 0.359 0.091
7 Sm 0.500 0.238 0.762
8 Sm 0.500 0.762 0.238
9 Sm 0.641 0.641 0.909
10 Sm 0.641 0.909 0.641
11 Sm 0.762 0.238 0.500
12 Sm 0.762 0.500 0.238
13 Sm 0.909 0.641 0.641
14 Ho 0.097 0.097 0.659
15 Ho 0.097 0.659 0.097
16 Ho 0.341 0.903 0.903
17 Ho 0.500 0.500 0.500
18 Ho 0.659 0.097 0.097
19 Ho 0.903 0.341 0.903
20 Ho 0.903 0.903 0.341

(6)
This record from the Alexandria database describes a relaxed ZrW crystal. The functional is PBE-GGA.

As for the total magnetization: 0.00 μB per atom. The value obtained for the formation energy is 0.126 eV/atom.

Unit cell a=5.694 b=5.694 c=6.741 alpha=107.68 beta=107.68 gamma=33.61
Atoms (fractional coordinates):
1 Zr 0.000 0.000 0.000
2 Zr 0.003 0.003 0.486
3 Zr 0.315 0.315 0.647
4 W 0.313 0.313 0.147
5 W 0.672 0.672 0.842
6 W 0.674 0.674 0.313

For reference, E by record: -4.10, -7.65, -4.78, -4.03, -4.57, -10.62 eV per atom.
For reference, DOS at the Fermi energy by record: 0.447, 0.524, 0.625, 1.368, 1.926, 1.244 states/eV per atom.